(1)
The following is a PBE calculation of a relaxed Cs2PtBr6O crystal, from the Alexandria database.

Mass density = 5.23 g cm⁻³
E = -58.82 eV for the cell shown
Calculated volume = 30.38 Å³ per atom

Cell and atoms, written as CIF:
```
data_Cs2PtBr6O
_space_group_name_H-M_alt 'I 4/m m m'
_space_group_IT_number 139
_space_group_name_Hall '-I 4 2'
_cell_length_a 7.1311
_cell_length_b 7.1311
_cell_length_c 11.9501
_cell_angle_alpha 90.00
_cell_angle_beta 90.00
_cell_angle_gamma 90.00
loop_
_atom_site_label
_atom_site_fract_x
_atom_site_fract_y
_atom_site_fract_z
Cs1 0.0000 0.5000 0.2500
Pt1 0.0000 0.0000 0.0000
Br1 0.0000 0.0000 0.2076
Br2 0.2403 0.2403 0.5000
O1 0.0000 0.0000 0.5000
```

(2)
The following is a PBE calculation of a relaxed NaTlSn2 crystal, from the Alexandria database.

ΔH_f (0 K) = 83 meV per atom
Mass density = 6.43 g cm⁻³
E = -45.43 eV for the cell shown
Energy relative to the lowest polymorph listed for this composition = 174 meV/atom
Calculated volume = 29.99 Å³ per atom

Cell and atoms, written as CIF:
```
data_NaTlSn2
_space_group_name_H-M_alt 'I -4 2 d'
_space_group_IT_number 122
_space_group_name_Hall 'I -4 2bw'
_cell_length_a 8.7576
_cell_length_b 8.7576
_cell_length_c 6.2559
_cell_angle_alpha 90.00
_cell_angle_beta 90.00
_cell_angle_gamma 90.00
loop_
_atom_site_label
_atom_site_fract_x
_atom_site_fract_y
_atom_site_fract_z
Na1 0.0000 0.0000 0.0000
Tl1 0.0000 0.0000 0.5000
Sn1 0.2246 0.2500 0.6250
```